The following is a DFT calculation (PBE) of UTl3Cr2Te6 after structural relaxation.

Summary:
The uncorrected formation energy is -0.335 eV per atom. The total energy is -60.504 eV for the cell shown. As for the space group: C2/m (12).

abc: 7.2009 7.2009 8.6234
angles: 98.12 98.12 119.82
With the nearest neighbours (Å) after each atom.
Element x y z (fractional)
U1 0.0000 0.0000 0.0000  6 Te 3.03-3.05
Tl1 0.1571 0.8429 0.5000  6 Te 3.42-3.54
Tl2 0.5000 0.5000 0.5000  6 Te 3.39-3.52
Tl3 0.8429 0.1571 0.5000  6 Te 3.42-3.54
Cr1 0.3327 0.6673 0.0000  6 Te 2.82-2.85
Cr2 0.6673 0.3327 0.0000  6 Te 2.82-2.85
Te1 0.0665 0.4230 0.1983  2 Cr 2.84-2.85, 1 U 3.05
Te2 0.2929 0.2929 0.8079  2 Cr 2.82, 1 U 3.03
Te3 0.4230 0.0665 0.1983  2 Cr 2.84-2.85, 1 U 3.05
Te4 0.5770 0.9335 0.8017  2 Cr 2.84-2.85, 1 U 3.05
Te5 0.7071 0.7071 0.1921  2 Cr 2.82, 1 U 3.03
Te6 0.9335 0.5770 0.8017  2 Cr 2.84-2.85, 1 U 3.05